Computed, not measured: an optimized crystal structure of CaTbP2Pd2 at the PBE level of DFT.

Lattice parameters (Å, degrees): 4.138 4.138 7.931 90.00 90.00 120.00
Fractional positions:
Ca 0.000 0.000 0.000
Tb 0.000 0.000 0.500
P 0.333 0.667 0.265
P 0.667 0.333 0.735
Pd 0.333 0.667 0.747
Pd 0.667 0.333 0.253

Properties
space group	P-3m1, No. 164
formation energy from the elements	-1.16	eV per atom